Record 1
The following is a DFT calculation (PBE+U) of crystalline BaNa2MoO4 at its relaxed geometry.

abc: 5.983 5.615 5.615
angles: 82.23 57.81 57.81
Sites, in units of the cell vectors:
Na 0.500 0.750 0.250
O 0.000 0.839 0.554
O 0.393 0.161 0.446
O 0.607 0.554 0.839
Mo 0.000 0.500 0.500
Na 0.500 0.250 0.750
O 0.000 0.446 0.161
Ba 0.000 0.000 0.000

Output
The symmetry is I-42m, No. 121. The value obtained for the energy is -46.222 eV per cell.

Record 2
The following is a DFT calculation (PBE+U) of crystalline Ba4NaMo3O12 at its relaxed geometry.

abc: 7.240 7.240 7.240
angles: 109.47 109.47 109.47
Sites, in units of the cell vectors:
O 0.750 0.250 0.500
O 0.274 0.274 0.000
O 0.726 0.726 0.000
O 0.750 0.500 0.250
Ba 0.000 0.000 0.500
O 0.000 0.726 0.726
O 0.500 0.750 0.250
Mo 0.500 0.500 0.000
Mo 0.500 0.000 0.500
O 0.000 0.274 0.274
Mo 0.000 0.500 0.500
O 0.250 0.750 0.500
O 0.500 0.250 0.750
Na 0.000 0.000 0.000
Ba 0.500 0.500 0.500
O 0.726 0.000 0.726
O 0.274 0.000 0.274
Ba 0.500 0.000 0.000
Ba 0.000 0.500 0.000
O 0.250 0.500 0.750

Output
The symmetry is Im-3m, No. 229. The value obtained for the energy is -135.310 eV per cell.

Record 3
The following is a DFT calculation (PBE+U) of crystalline BaNaMo2O8 at its relaxed geometry.

abc: 6.696 6.696 6.696
angles: 106.86 106.86 114.82
Sites, in units of the cell vectors:
O 0.831 0.650 0.181
O 0.900 0.579 0.680
O 0.350 0.169 0.819
O 0.780 0.100 0.680
O 0.421 0.100 0.320
Mo 0.500 0.500 0.000
O 0.470 0.650 0.819
Ba 0.000 0.000 0.000
O 0.900 0.220 0.320
Na 0.250 0.750 0.500
O 0.350 0.530 0.181
Mo 0.750 0.250 0.500

Output
The symmetry is I-4m2, No. 119. The value obtained for the energy is -78.578 eV per cell.